1.
# GGA-PBEsol Ca3InI, relaxed
# volume	185	Å³ per cell
# uncorrected formation energy	-0.1711	eV/atom
data_Ca3InI
_chemical_formula_sum 'Ca3 In1 I1'
_symmetry_space_group_name_H-M 'P m -3 m'
_symmetry_Int_Tables_number 221
_symmetry_space_group_name_Hall '-P 4 2 3'
_cell_length_a 5.6972
_cell_length_b 5.6972
_cell_length_c 5.6972
_cell_angle_alpha 90.00
_cell_angle_beta 90.00
_cell_angle_gamma 90.00
loop_
_atom_site_label
_atom_site_type_symbol
_atom_site_fract_x
_atom_site_fract_y
_atom_site_fract_z
Ca1 Ca 0.0000 0.0000 0.5000
In1 In 0.5000 0.5000 0.5000
I1 I 0.0000 0.0000 0.0000

2.
# GGA-PBEsol LiMn2O3F, relaxed
# volume	285	Å³ per cell
# excess energy over the best structure of this formula in the dataset	0.0	meV per atom
# uncorrected formation energy	-1.9194	eV/atom
data_LiMn2O3F
_chemical_formula_sum 'Li4 Mn8 O12 F4'
_symmetry_space_group_name_H-M 'C 1 m 1'
_symmetry_Int_Tables_number 8
_cell_length_a 10.3010
_cell_length_b 5.6688
_cell_length_c 5.8255
_cell_angle_alpha 90.00
_cell_angle_beta 123.11
_cell_angle_gamma 90.00
loop_
_symmetry_equiv_pos_as_xyz
'x,y,z'
'x,-y,z'
'x+1/2,y+1/2,z'
'x+1/2,-y+1/2,z'
loop_
_atom_site_label
_atom_site_type_symbol
_atom_site_fract_x
_atom_site_fract_y
_atom_site_fract_z
Li1 Li 0.0000 0.0000 0.0000
Li2 Li 0.1521 0.5000 0.4194
Mn1 Mn 0.0054 0.0000 0.5231
Mn2 Mn 0.2462 0.2535 0.9991
Mn3 Mn 0.3679 0.0000 0.6064
O1 O 0.0035 0.2326 0.7331
O2 O 0.2318 0.0000 0.7523
O3 O 0.2460 0.0000 0.2104
O4 O 0.2673 0.5000 0.8122
O5 O 0.2871 0.5000 0.2656
F1 F 0.0181 0.2325 0.2825

3.
# GGA-PBEsol Tb2PdRh, relaxed
# formation energy	-826.9	meV per atom
# volume	320	Å³ per cell
data_Tb2PdRh
_chemical_formula_sum 'Tb8 Pd4 Rh4'
_symmetry_space_group_name_H-M 'F m -3 m'
_symmetry_Int_Tables_number 225
_symmetry_space_group_name_Hall '-F 4 2 3'
_cell_length_a 6.8400
_cell_length_b 6.8400
_cell_length_c 6.8400
_cell_angle_alpha 90.00
_cell_angle_beta 90.00
_cell_angle_gamma 90.00
loop_
_atom_site_label
_atom_site_type_symbol
_atom_site_fract_x
_atom_site_fract_y
_atom_site_fract_z
Tb1 Tb 0.2500 0.2500 0.2500
Pd1 Pd 0.0000 0.0000 0.0000
Rh1 Rh 0.0000 0.0000 0.5000

4.
# GGA-PBEsol LiRu2, relaxed
# formation energy	247.8	meV per atom
# volume	159	Å³ per cell
data_LiRu2
_chemical_formula_sum 'Li4 Ru8'
_symmetry_space_group_name_H-M 'C 1 m 1'
_symmetry_Int_Tables_number 8
_cell_length_a 10.0184
_cell_length_b 2.6634
_cell_length_c 6.2599
_cell_angle_alpha 90.00
_cell_angle_beta 107.72
_cell_angle_gamma 90.00
loop_
_symmetry_equiv_pos_as_xyz
'x,y,z'
'x,-y,z'
'x+1/2,y+1/2,z'
'x+1/2,-y+1/2,z'
loop_
_atom_site_label
_atom_site_type_symbol
_atom_site_fract_x
_atom_site_fract_y
_atom_site_fract_z
Li1 Li 0.0000 0.0000 0.0000
Li2 Li 0.1468 0.5000 0.3377
Ru1 Ru 0.0350 0.0000 0.6140
Ru2 Ru 0.2269 0.5000 0.9092
Ru3 Ru 0.3265 0.0000 0.6509
Ru4 Ru 0.3625 0.0000 0.2601

5.
# GGA-PBEsol Ba2SiMo, relaxed
# volume	252	Å³ per cell
# uncorrected formation energy	0.3410	eV/atom
data_Ba2SiMo
_chemical_formula_sum 'Ba4 Si2 Mo2'
_symmetry_space_group_name_H-M 'A m m 2'
_symmetry_Int_Tables_number 38
_cell_length_a 4.2711
_cell_length_b 4.8685
_cell_length_c 12.1319
_cell_angle_alpha 90.00
_cell_angle_beta 90.00
_cell_angle_gamma 90.00
loop_
_symmetry_equiv_pos_as_xyz
'x,y,z'
'-x,-y,z'
'-x,y,z'
'x,-y,z'
'x,y+1/2,z+1/2'
'-x,-y+1/2,z+1/2'
'-x,y+1/2,z+1/2'
'x,-y+1/2,z+1/2'
loop_
_atom_site_label
_atom_site_type_symbol
_atom_site_fract_x
_atom_site_fract_y
_atom_site_fract_z
Ba1 Ba 0.0000 0.0000 0.0000
Ba2 Ba 0.5000 0.0000 0.2852
Si1 Si 0.5000 0.0000 0.5924
Mo1 Mo 0.0000 0.0000 0.6892

6.
# GGA-PBEsol ScAsCl3, relaxed
# volume	124	Å³ per cell
# uncorrected formation energy	-0.9039	eV/atom
data_ScAsCl3
_chemical_formula_sum 'Sc1 As1 Cl3'
_symmetry_space_group_name_H-M 'P m -3 m'
_symmetry_Int_Tables_number 221
_symmetry_space_group_name_Hall '-P 4 2 3'
_cell_length_a 4.9855
_cell_length_b 4.9855
_cell_length_c 4.9855
_cell_angle_alpha 90.00
_cell_angle_beta 90.00
_cell_angle_gamma 90.00
loop_
_atom_site_label
_atom_site_type_symbol
_atom_site_fract_x
_atom_site_fract_y
_atom_site_fract_z
Sc1 Sc 0.0000 0.0000 0.0000
As1 As 0.5000 0.5000 0.5000
Cl1 Cl 0.0000 0.0000 0.5000

7.
# GGA-PBEsol MgZr2Ta, relaxed
# formation energy	92.0	meV per atom
# volume	83	Å³ per cell
data_MgZr2Ta
_chemical_formula_sum 'Mg1 Zr2 Ta1'
_symmetry_space_group_name_H-M 'P 4/m m m'
_symmetry_Int_Tables_number 123
_symmetry_space_group_name_Hall '-P 4 2'
_cell_length_a 3.4578
_cell_length_b 3.4578
_cell_length_c 6.9223
_cell_angle_alpha 90.00
_cell_angle_beta 90.00
_cell_angle_gamma 90.00
loop_
_atom_site_label
_atom_site_type_symbol
_atom_site_fract_x
_atom_site_fract_y
_atom_site_fract_z
Mg1 Mg 0.0000 0.0000 0.0000
Zr1 Zr 0.5000 0.5000 0.2712
Ta1 Ta 0.0000 0.0000 0.5000

8.
# GGA-PBEsol SrNi2Sb2, relaxed
# volume	206	Å³ per cell
# uncorrected formation energy	-0.5467	eV/atom
data_SrNi2Sb2
_chemical_formula_sum 'Sr2 Ni4 Sb4'
_symmetry_space_group_name_H-M 'I 4/m m m'
_symmetry_Int_Tables_number 139
_symmetry_space_group_name_Hall '-I 4 2'
_cell_length_a 4.3909
_cell_length_b 4.3909
_cell_length_c 10.7030
_cell_angle_alpha 90.00
_cell_angle_beta 90.00
_cell_angle_gamma 90.00
loop_
_atom_site_label
_atom_site_type_symbol
_atom_site_fract_x
_atom_site_fract_y
_atom_site_fract_z
Sr1 Sr 0.0000 0.0000 0.0000
Ni1 Ni 0.0000 0.5000 0.2500
Sb1 Sb 0.0000 0.0000 0.3605

9.
# GGA-PBEsol CdAs2RuSe, relaxed
# volume	123	Å³ per cell
# uncorrected formation energy	1.6276	eV/atom
data_CdAs2RuSe
_chemical_formula_sum 'Cd1 As2 Ru1 Se1'
_symmetry_space_group_name_H-M 'P 4/m m m'
_symmetry_Int_Tables_number 123
_symmetry_space_group_name_Hall '-P 4 2'
_cell_length_a 4.9522
_cell_length_b 4.9522
_cell_length_c 5.0218
_cell_angle_alpha 90.00
_cell_angle_beta 90.00
_cell_angle_gamma 90.00
loop_
_atom_site_label
_atom_site_type_symbol
_atom_site_fract_x
_atom_site_fract_y
_atom_site_fract_z
Cd1 Cd 0.0000 0.0000 0.0000
As1 As 0.0000 0.5000 0.0000
Ru1 Ru 0.5000 0.5000 0.5000
Se1 Se 0.0000 0.0000 0.5000

10.
# GGA-PBEsol SrMg3Cu, relaxed
# formation energy	-4.8	meV per atom
# volume	126	Å³ per cell
data_SrMg3Cu
_chemical_formula_sum 'Sr1 Mg3 Cu1'
_symmetry_space_group_name_H-M 'P m -3 m'
_symmetry_Int_Tables_number 221
_symmetry_space_group_name_Hall '-P 4 2 3'
_cell_length_a 5.0179
_cell_length_b 5.0179
_cell_length_c 5.0179
_cell_angle_alpha 90.00
_cell_angle_beta 90.00
_cell_angle_gamma 90.00
loop_
_atom_site_label
_atom_site_type_symbol
_atom_site_fract_x
_atom_site_fract_y
_atom_site_fract_z
Sr1 Sr 0.0000 0.0000 0.0000
Mg1 Mg 0.0000 0.5000 0.5000
Cu1 Cu 0.5000 0.5000 0.5000

11.
# GGA-PBEsol AlZnBr, relaxed
# volume	64	Å³ per cell
# uncorrected formation energy	0.0126	eV/atom
data_AlZnBr
_chemical_formula_sum 'Al1 Zn1 Br1'
_symmetry_space_group_name_H-M 'P 3 m 1'
_symmetry_Int_Tables_number 156
_cell_length_a 3.6799
_cell_length_b 3.6799
_cell_length_c 5.4335
_cell_angle_alpha 90.00
_cell_angle_beta 90.00
_cell_angle_gamma 120.00
loop_
_symmetry_equiv_pos_as_xyz
'x,y,z'
'-y,x-y,z'
'-x+y,-x,z'
'-y,-x,z'
'-x+y,y,z'
'x,x-y,z'
loop_
_atom_site_label
_atom_site_type_symbol
_atom_site_fract_x
_atom_site_fract_y
_atom_site_fract_z
Al1 Al 0.0000 0.0000 0.0000
Zn1 Zn 0.6667 0.3333 0.2713
Br1 Br 0.3333 0.6667 0.6487

12.
# GGA-PBEsol CsNaLi3, relaxed
# formation energy	267.9	meV per atom
# volume	213	Å³ per cell
# excess energy over the best structure of this formula in the dataset	0.0	meV per atom
data_CsNaLi3
_chemical_formula_sum 'Cs1 Na1 Li3'
_symmetry_space_group_name_H-M 'P m -3 m'
_symmetry_Int_Tables_number 221
_symmetry_space_group_name_Hall '-P 4 2 3'
_cell_length_a 5.9727
_cell_length_b 5.9727
_cell_length_c 5.9727
_cell_angle_alpha 90.00
_cell_angle_beta 90.00
_cell_angle_gamma 90.00
loop_
_atom_site_label
_atom_site_type_symbol
_atom_site_fract_x
_atom_site_fract_y
_atom_site_fract_z
Cs1 Cs 0.0000 0.0000 0.0000
Na1 Na 0.5000 0.5000 0.5000
Li1 Li 0.0000 0.5000 0.5000

Question: Among the records above, which one has the lowest volume?
Answer: AlZnBr

Question: Which of these has the lowest volume?
Answer: AlZnBr

Question: What is the formula in the seventh record?
Answer: MgZr2Ta